Material: Zr2TiCuH
Method: DFT, GGA-PBE
State: optimized geometry

The structure belongs to space group P4/mmm (No. 123); the cell edges are 4.3805, 4.3805 and 4.0154 Å and the angles 90.00°, 90.00° and 90.00°. The asymmetric unit holds Zr at (0.0000, 0.5000, 0.0000), Ti at (0.0000, 0.0000, 0.5000), Cu at (0.5000, 0.5000, 0.5000) and H at (0.0000, 0.0000, 0.0000).

***

Material: ZrTiCu2H
Method: DFT, GGA-PBE
State: optimized geometry

The structure belongs to space group P4/mmm (No. 123); the cell edges are 4.0255, 4.0255 and 4.0299 Å and the angles 90.00°, 90.00° and 90.00°. The asymmetric unit holds Zr at (0.0000, 0.0000, 0.0000), Ti at (0.5000, 0.5000, 0.0000), Cu at (0.0000, 0.5000, 0.5000) and H at (0.5000, 0.5000, 0.5000).

***

Material: TlCu3H
Method: DFT, GGA-PBE
State: optimized geometry

The structure belongs to space group Pm-3m (No. 221); the cell edges are 3.9651, 3.9651 and 3.9651 Å and the angles 90.00°, 90.00° and 90.00°. The asymmetric unit holds Tl at (0.0000, 0.0000, 0.0000), Cu at (0.0000, 0.5000, 0.5000) and H at (0.5000, 0.5000, 0.5000).

***

no.,uncorrected energy (eV per atom)
1,-6.607
2,-5.583
3,-3.320